# BaScCu2 | the Alexandria database | meta-GGA SCAN | PBEsol geometry
data_BaScCu2
_space_group_name_H-M_alt 'P 1'
_space_group_IT_number 1
_cell_length_a 5.008
_cell_length_b 5.008
_cell_length_c 5.008
_cell_angle_alpha 60.00
_cell_angle_beta 60.00
_cell_angle_gamma 60.00
loop_
_space_group_symop_operation_xyz
'x,y,z'
loop_
_atom_site_label
_atom_site_fract_x
_atom_site_fract_y
_atom_site_fract_z
_atom_site_occupancy
Ba1 0.000 0.000 0.000 1
Sc1 0.500 0.500 0.500 1
Cu1 0.250 0.250 0.250 1
Cu2 0.750 0.750 0.750 1
# formation energy from the elements = 0.26 eV/atom
# total magnetization = 0.00 Bohr magnetons per cell
# mass density = 5.8 Mg/m³